Computed, not measured: a relaxed structure of Ca2AcScSe4 at the GGA-PBE level of DFT.

Cell and atoms, written as POSCAR:
```
Ca2AcScSe4
1.0
7.259 0.000 0.000
0.000 4.188 0.000
-2.406 0.000 6.936
Ca Ac Sc Se
2 1 1 4
Direct
0.000 0.000 0.000 Ca
0.500 0.500 0.000 Ca
0.000 0.500 0.500 Ac
0.500 0.000 0.500 Sc
0.271 0.500 0.257 Se
0.273 0.000 0.758 Se
0.727 0.000 0.242 Se
0.729 0.500 0.743 Se
```

Values from the calculation:
The space group is P2/m. The raw total energy comes out at -5.339 eV/atom.



Computed, not measured: a relaxed structure of CaAc2ScSe6 at the GGA-PBE level of DFT.

Cell and atoms, written as POSCAR:
```
CaAc2ScSe6
1.0
6.889 0.000 0.000
0.000 7.965 0.000
-6.802 0.000 10.418
Ca Ac Sc Se
2 4 2 12
Direct
0.000 0.000 0.000 Ca
0.000 0.500 0.500 Ca
0.296 0.105 0.751 Ac
0.296 0.395 0.251 Ac
0.704 0.605 0.749 Ac
0.704 0.895 0.249 Ac
0.500 0.000 0.500 Sc
0.500 0.500 0.000 Sc
0.137 0.035 0.260 Se
0.137 0.465 0.760 Se
0.232 0.675 0.057 Se
0.232 0.825 0.557 Se
0.404 0.194 0.062 Se
0.404 0.306 0.562 Se
0.596 0.694 0.438 Se
0.596 0.806 0.938 Se
0.768 0.175 0.443 Se
0.768 0.325 0.943 Se
0.863 0.535 0.240 Se
0.863 0.965 0.740 Se
```

Values from the calculation:
The space group is P2_1/c. The raw total energy comes out at -5.525 eV/atom.



Computed, not measured: a relaxed structure of CaAcScTl at the GGA-PBE level of DFT.

Cell and atoms, written as POSCAR:
```
CaAcScTl
1.0
0.000 3.961 3.961
3.961 0.000 3.961
3.961 3.961 0.000
Ca Ac Sc Tl
1 1 1 1
Direct
0.000 0.000 0.000 Ca
0.750 0.750 0.750 Ac
0.500 0.500 0.500 Sc
0.250 0.250 0.250 Tl
```

Values from the calculation:
The space group is F-43m. The raw total energy comes out at -3.616 eV/atom. Its formation energy is 0.09 eV per atom.



Computed, not measured: a relaxed structure of CaAc4Se5 at the GGA-PBE level of DFT.

Cell and atoms, written as POSCAR:
```
CaAc4Se5
1.0
2.210 1.276 18.077
-2.210 1.276 18.077
0.000 -2.552 18.077
Ca Ac Se
1 4 5
Direct
0.000 0.000 0.000 Ca
0.201 0.201 0.201 Ac
0.399 0.399 0.399 Ac
0.601 0.601 0.601 Ac
0.799 0.799 0.799 Ac
0.099 0.099 0.099 Se
0.303 0.303 0.303 Se
0.500 0.500 0.500 Se
0.697 0.697 0.697 Se
0.901 0.901 0.901 Se
```

Values from the calculation:
The space group is R-3m. The raw total energy comes out at -5.470 eV/atom.



Computed, not measured: a relaxed structure of Ca2AcSe at the GGA-PBE level of DFT.

Cell and atoms, written as POSCAR:
```
Ca2AcSe
1.0
2.008 1.159 10.424
-2.008 1.159 10.424
0.000 -2.319 10.424
Ca Ac Se
2 1 1
Direct
0.224 0.224 0.224 Ca
0.776 0.776 0.776 Ca
0.000 0.000 0.000 Ac
0.500 0.500 0.500 Se
```

Values from the calculation:
The space group is R-3m. The raw total energy comes out at -3.788 eV/atom.



Computed, not measured: a relaxed structure of Ca2AcSe at the GGA-PBE level of DFT.

Cell and atoms, written as POSCAR:
```
Ca2AcSe
1.0
3.757 0.000 0.000
0.000 3.757 0.000
0.000 0.000 9.531
Ca Ac Se
2 1 1
Direct
0.000 0.000 0.181 Ca
0.000 0.000 0.819 Ca
0.500 0.500 0.500 Ac
0.500 0.500 0.000 Se
```

Values from the calculation:
The space group is P4/mmm. The raw total energy comes out at -3.686 eV/atom.



Computed, not measured: a relaxed structure of CaAc3Se4 at the GGA-PBE level of DFT.

Cell and atoms, written as POSCAR:
```
CaAc3Se4
1.0
7.664 0.000 0.000
0.000 8.818 0.000
-2.529 0.000 7.194
Ca Ac Se
2 6 8
Direct
0.000 0.122 0.250 Ca
0.000 0.878 0.750 Ca
0.000 0.374 0.750 Ac
0.000 0.626 0.250 Ac
0.500 0.127 0.750 Ac
0.500 0.378 0.250 Ac
0.500 0.622 0.750 Ac
0.500 0.873 0.250 Ac
0.237 0.118 0.003 Se
0.237 0.882 0.503 Se
0.241 0.366 0.490 Se
0.241 0.634 0.990 Se
0.759 0.366 0.010 Se
0.759 0.634 0.510 Se
0.763 0.118 0.497 Se
0.763 0.882 0.997 Se
```

Values from the calculation:
The space group is P2/c. The raw total energy comes out at -5.415 eV/atom.



Computed, not measured: a relaxed structure of Ca3AcSe4 at the GGA-PBE level of DFT.

Cell and atoms, written as POSCAR:
```
Ca3AcSe4
1.0
4.245 0.000 0.000
-2.122 3.676 0.000
0.000 0.000 28.623
Ca Ac Se
6 2 8
Direct
0.000 0.000 0.000 Ca
0.000 0.000 0.500 Ca
0.333 0.667 0.119 Ca
0.333 0.667 0.381 Ca
0.667 0.333 0.619 Ca
0.667 0.333 0.881 Ca
0.333 0.667 0.750 Ac
0.667 0.333 0.250 Ac
0.000 0.000 0.179 Se
0.000 0.000 0.321 Se
0.000 0.000 0.679 Se
0.000 0.000 0.821 Se
0.333 0.667 0.560 Se
0.333 0.667 0.940 Se
0.667 0.333 0.060 Se
0.667 0.333 0.440 Se
```

Values from the calculation:
The space group is P6_3/mmc. The raw total energy comes out at -4.972 eV/atom.



Computed, not measured: a relaxed structure of CaAc2Se3 at the GGA-PBE level of DFT.

Cell and atoms, written as POSCAR:
```
CaAc2Se3
1.0
4.315 0.000 0.000
-2.158 3.737 0.000
0.000 0.000 22.468
Ca Ac Se
2 4 6
Direct
0.000 0.000 0.250 Ca
0.000 0.000 0.750 Ca
0.333 0.667 0.084 Ac
0.333 0.667 0.416 Ac
0.667 0.333 0.584 Ac
0.667 0.333 0.916 Ac
0.000 0.000 0.000 Se
0.000 0.000 0.500 Se
0.333 0.667 0.671 Se
0.333 0.667 0.829 Se
0.667 0.333 0.171 Se
0.667 0.333 0.329 Se
```

Values from the calculation:
The space group is P6_3/mmc. The raw total energy comes out at -5.296 eV/atom.



Computed, not measured: a relaxed structure of Ca3Ac5Se8 at the GGA-PBE level of DFT.

Cell and atoms, written as POSCAR:
```
Ca3Ac5Se8
1.0
4.360 2.517 7.233
-4.360 2.517 7.233
0.000 -5.034 7.233
Ca Ac Se
3 5 8
Direct
0.000 0.500 0.500 Ca
0.500 0.000 0.500 Ca
0.500 0.500 0.000 Ca
0.000 0.000 0.000 Ac
0.000 0.000 0.500 Ac
0.000 0.500 0.000 Ac
0.500 0.000 0.000 Ac
0.500 0.500 0.500 Ac
0.250 0.250 0.735 Se
0.250 0.735 0.250 Se
0.256 0.256 0.256 Se
0.265 0.750 0.750 Se
0.735 0.250 0.250 Se
0.744 0.744 0.744 Se
0.750 0.265 0.750 Se
0.750 0.750 0.265 Se
```

Values from the calculation:
The space group is R-3m. The raw total energy comes out at -5.289 eV/atom.



Computed, not measured: a relaxed structure of CaAc2Se4 at the GGA-PBE level of DFT.

Cell and atoms, written as POSCAR:
```
CaAc2Se4
1.0
7.264 -2.091 0.000
7.264 2.091 0.000
-4.894 0.000 7.369
Ca Ac Se
1 2 4
Direct
0.000 0.000 0.000 Ca
0.355 0.355 0.294 Ac
0.645 0.645 0.706 Ac
0.055 0.055 0.372 Se
0.332 0.332 0.917 Se
0.668 0.668 0.083 Se
0.945 0.945 0.628 Se
```

Values from the calculation:
The space group is C2/m. The raw total energy comes out at -5.377 eV/atom.



Computed, not measured: a relaxed structure of CaAc4Se7 at the GGA-PBE level of DFT.

Cell and atoms, written as POSCAR:
```
CaAc4Se7
1.0
7.249 -2.177 0.000
7.249 2.177 0.000
-3.437 0.000 12.327
Ca Ac Se
1 4 7
Direct
0.000 0.000 0.000 Ca
0.124 0.124 0.419 Ac
0.229 0.229 0.858 Ac
0.432 0.432 0.633 Ac
0.818 0.818 0.229 Ac
0.081 0.081 0.638 Se
0.162 0.162 0.197 Se
0.387 0.387 0.076 Se
0.463 0.463 0.379 Se
0.596 0.596 0.905 Se
0.784 0.784 0.477 Se
0.853 0.853 0.782 Se
```

Values from the calculation:
The space group is Cm. The raw total energy comes out at -5.565 eV/atom.



Number 1: density 5.3 g cm⁻³. Number 2: density 5.9 g cm⁻³. Number 3: density 6.9 g cm⁻³. Number 4: density 7.3 g cm⁻³. Number 5: density 4.4 g cm⁻³. Number 6: density 4.8 g cm⁻³. Number 7: density 7.1 g cm⁻³. Number 8: density 4.9 g cm⁻³. Number 9: density 6.7 g cm⁻³. Number 10: density 6.6 g cm⁻³. Number 11: density 6.0 g cm⁻³. Number 12: density 6.4 g cm⁻³.